Record 1
Entry from Alexandria via LeMat-Bulk: a relaxed TiReW2 crystal (PBE-GGA).

Structure (extended XYZ):
```
4
Lattice="-1.572 2.213 4.514 1.572 -2.213 4.514 1.572 2.213 -4.514" Properties=species:S:1:pos:R:3 pbc="T T T"
Ti 0.000 0.000 0.000
Re 0.000 0.000 4.514
W 1.572 0.000 2.298
W 0.000 2.213 2.216
```

Results
- offset from the most stable computed form (meV/atom) = 0

***

Record 2
Entry from Alexandria via LeMat-Bulk: a relaxed TiRe3W crystal (PBE-GGA).

Structure (extended XYZ):
```
5
Lattice="4.461 0.000 0.000 0.000 4.461 0.000 0.000 0.000 4.461" Properties=species:S:1:pos:R:3 pbc="T T T"
Ti 0.000 0.000 0.000
Re 0.000 0.000 2.231
Re 0.000 2.231 0.000
Re 2.231 0.000 0.000
W 2.231 2.231 2.231
```

Results
- final energy (eV for the cell shown) = -48.85

***

Record 3
Entry from Alexandria via LeMat-Bulk: a relaxed TiZnReW crystal (PBE-GGA).

Structure (extended XYZ):
```
4
Lattice="0.000 3.129 3.129 3.129 0.000 3.129 3.129 3.129 0.000" Properties=species:S:1:pos:R:3 pbc="T T T"
Ti 0.000 0.000 0.000
Zn 4.693 4.693 4.693
Re 1.564 1.564 1.564
W 3.129 3.129 3.129
```

Results
- final energy (eV for the cell shown) = -34.62

***

Record 4
Entry from Alexandria via LeMat-Bulk: a relaxed YTi3Re crystal (PBE-GGA).

Structure (extended XYZ):
```
5
Lattice="4.622 0.000 0.000 0.000 4.622 0.000 0.000 0.000 4.622" Properties=species:S:1:pos:R:3 pbc="T T T"
Y 0.000 0.000 0.000
Ti 0.000 0.000 2.311
Ti 0.000 2.311 0.000
Ti 2.311 0.000 0.000
Re 2.311 2.311 2.311
```

Results
- offset from the most stable computed form (meV/atom) = 1572